Compound: Zn2ReMo
Source: Alexandria via LeMat-Bulk
Functional: PBE-GGA
Structure: optimized geometry

Cell and atoms, written as extended XYZ:
```
4
Lattice="-1.8523 2.6417 -3.8185 -2.9280 -2.4983 -3.1900 0.2726 0.5496 4.9613" Properties=species:S:1:pos:R:3 pbc="T T T"
Mo -2.5228 -0.9385 -0.8665
Re -1.9849 1.6315 -1.1807
Zn 0.0000 0.0000 0.0000
Zn -2.3902 0.0717 -3.5043
```

Output
SG: I4/mmm
ΔE_f in meV per atom: 269
Polymorph energy (0 for the lowest one) in meV per atom: 157.6

=====

Compound: Zr2ReMo
Source: Alexandria via LeMat-Bulk
Functional: PBE-GGA
Structure: optimized geometry

Cell and atoms, written as extended XYZ:
```
4
Lattice="9.6641 0.0430 0.0253 9.1719 3.0451 0.0253 9.1719 1.5037 2.6481" Properties=species:S:1:pos:R:3 pbc="T T T"
Mo 13.7917 2.2611 1.3289
Re 21.1924 3.4744 2.0419
Zr 0.1746 0.0286 0.0168
Zr 6.8534 1.1236 0.6603
```

Output
SG: R3m
ΔE_f in meV per atom: 229

=====

Compound: ZrRe2Mo
Source: Alexandria via LeMat-Bulk
Functional: PBE-GGA
Structure: optimized geometry

Cell and atoms, written as extended XYZ:
```
8
Lattice="-6.7109 -2.9704 0.0160 2.9698 -6.7084 0.1961 -1.8945 -4.7710 2.8076" Properties=species:S:1:pos:R:3 pbc="T T T"
Re -4.4807 -3.9692 0.7368
Re 0.7275 -5.6754 0.8261
Re -2.9052 -7.0239 2.1799
Re -4.6130 -12.2310 2.2967
Mo 0.0000 0.0000 0.0000
Mo -5.2380 -6.2904 1.4648
Zr -1.8706 -4.8394 0.1060
Zr -0.3976 -8.1594 1.5549
```

Output
SG: I-42d
ΔE_f in meV per atom: 651
Polymorph energy (0 for the lowest one) in meV per atom: 765.7

=====

Compound: ZrReMo2
Source: Alexandria via LeMat-Bulk
Functional: PBE-GGA
Structure: optimized geometry

Cell and atoms, written as extended XYZ:
```
4
Lattice="8.8918 0.0056 0.0033 8.3751 2.9869 0.0033 8.3751 1.4515 2.6106" Properties=species:S:1:pos:R:3 pbc="T T T"
Mo 25.4996 4.4194 2.6026
Mo 6.4247 1.1135 0.6557
Re 12.9534 2.2450 1.3221
Zr 19.2272 3.3323 1.9624
```

Output
SG: R3m
ΔE_f in meV per atom: 286
Polymorph energy (0 for the lowest one) in meV per atom: 380.8

=====

Compound: Zr2ReMo
Source: Alexandria via LeMat-Bulk
Functional: PBE-GGA
Structure: optimized geometry

Cell and atoms, written as extended XYZ:
```
8
Lattice="7.4604 0.0000 0.0000 0.0000 7.4604 0.0000 3.7302 3.7302 2.8146" Properties=species:S:1:pos:R:3 pbc="T T T"
Re 0.0000 0.0000 0.0000
Re 7.4604 3.7302 1.4073
Mo 3.7302 3.7302 0.0000
Mo 3.7302 7.4604 1.4073
Zr 5.6628 1.8651 0.7037
Zr 1.7976 5.5953 0.7037
Zr 5.5953 5.5278 2.1110
Zr 9.3254 9.3929 2.1110
```

Output
SG: I-42d
ΔE_f in meV per atom: 595

=====

Compound: ZrReMo2
Source: Alexandria via LeMat-Bulk
Functional: PBE-GGA
Structure: optimized geometry

Cell and atoms, written as extended XYZ:
```
4
Lattice="-2.7035 -0.4426 3.6486 -1.5578 -3.9644 -1.6352 2.3509 -1.5640 1.5522" Properties=species:S:1:pos:R:3 pbc="T T T"
Mo 0.0000 0.0000 0.0000
Mo -2.1307 -2.2035 1.0067
Re -0.1763 -1.0033 2.6004
Zr 0.3965 -2.7642 -0.0415
```

Output
SG: P4/mmm
ΔE_f in meV per atom: -33
Polymorph energy (0 for the lowest one) in meV per atom: 62.1